A plane-wave DFT calculation with GGA-PBE was carried out for crystalline CaAs2 at its relaxed geometry.

Cell: 4.8119 4.8119 4.8119 Å, 60.00 60.00 60.00°
Fractional positions:
As (0.7500, 0.7500, 0.7500)
As (0.2500, 0.2500, 0.2500)
Ca (0.0000, 0.0000, 0.0000)

Properties
Formation energy   -58 kJ/mol of formula units
DFT total energy   -3.967 eV/atom
N(E_F)   2.74 states/eV/cell
M_tot   0.0 Bohr magnetons per cell

A plane-wave DFT calculation with GGA-PBE was carried out for crystalline ErZrU2P4 at its relaxed geometry.

Cell: 3.8681 6.7078 6.7847 Å, 109.14 90.00 90.00°
Fractional positions:
U (0.0000, 0.5000, 0.5000)
U (0.5000, 0.0000, 0.5000)
P (0.5000, 0.2424, 0.2435)
P (0.0000, 0.2451, 0.7530)
P (0.0000, 0.7549, 0.2470)
P (0.5000, 0.7576, 0.7565)
Zr (0.0000, 0.0000, 0.0000)
Er (0.5000, 0.5000, 0.0000)

Properties
Formation energy   -964 kJ/mol of formula units
DFT total energy   -8.415 eV/atom
N(E_F)   9.80 states/eV/cell
M_tot   4.2 Bohr magnetons per cell

A plane-wave DFT calculation with GGA-PBE was carried out for crystalline Dy4Ag3Ir at its relaxed geometry.

Cell: 3.5614 3.5614 14.5134 Å, 90.00 90.00 90.00°
Fractional positions:
Dy (0.0000, 0.0000, 0.8887)
Dy (0.0000, 0.0000, 0.3708)
Dy (0.0000, 0.0000, 0.1113)
Dy (0.0000, 0.0000, 0.6292)
Ag (0.5000, 0.5000, 0.5000)
Ag (0.5000, 0.5000, 0.7546)
Ag (0.5000, 0.5000, 0.2454)
Ir (0.5000, 0.5000, 0.0000)

Properties
Formation energy   -354 kJ/mol of formula units
DFT total energy   -4.937 eV/atom
N(E_F)   5.98 states/eV/cell
M_tot   0.0 Bohr magnetons per cell

A plane-wave DFT calculation with GGA-PBE was carried out for crystalline Ce2SmY3Te6 at its relaxed geometry.

Cell: 4.3843 8.9235 9.9201 Å, 104.00 102.77 90.00°
Fractional positions:
Y (0.8338, 0.1670, 0.6676)
Y (0.1662, 0.8330, 0.3324)
Y (0.5000, 0.5000, 0.0000)
Sm (0.5000, 0.0000, 0.0000)
Ce (0.1672, 0.3347, 0.3343)
Ce (0.8328, 0.6653, 0.6657)
Te (0.3318, 0.9226, 0.6637)
Te (0.3360, 0.4105, 0.6720)
Te (0.6682, 0.0774, 0.3363)
Te (0.9980, 0.2534, 0.9960)
Te (0.0020, 0.7466, 0.0040)
Te (0.6640, 0.5895, 0.3280)

Properties
DFT total energy   -5.921 eV/atom
N(E_F)   17.35 states/eV/cell
M_tot   2.6 Bohr magnetons per cell

A plane-wave DFT calculation with GGA-PBE was carried out for crystalline AlIn3B at its relaxed geometry.

Cell: 5.2938 5.2938 5.2938 Å, 90.00 90.00 90.00°
Fractional positions:
In (0.0000, 0.5000, 0.0000)
In (0.0000, 0.0000, 0.5000)
In (0.5000, 0.0000, 0.0000)
B (0.5000, 0.5000, 0.5000)
Al (0.0000, 0.0000, 0.0000)

Properties
Formation energy   605 kJ/mol of formula units
DFT total energy   -2.474 eV/atom
N(E_F)   4.74 states/eV/cell
M_tot   0.0 Bohr magnetons per cell

A plane-wave DFT calculation with GGA-PBE was carried out for crystalline LaScS2 at its relaxed geometry.

Cell: 6.1511 6.1511 7.4609 Å, 65.66 65.66 90.00°
Fractional positions:
S (0.3750, 0.4174, 0.7500)
S (0.1674, 0.6250, 0.2500)
S (0.8750, 0.8326, 0.7500)
S (0.5826, 0.1250, 0.2500)
La (0.7500, 0.2500, 0.5000)
La (0.0000, 0.0000, 0.0000)
Sc (0.2500, 0.7500, 0.5000)
Sc (0.5000, 0.5000, 0.0000)

Properties
DFT total energy   -6.448 eV/atom
N(E_F)   7.06 states/eV/cell
M_tot   0.0 Bohr magnetons per cell